! PBE SrNd2Mg3, relaxed; values from VASP
! ΔE_f in kcal/mol of atoms: -1.91
! Mass density in g cm⁻³: 3.92
! SG: P4/mmm
&SYSTEM
  ibrav = 0, nat = 6, ntyp = 3
/
ATOMIC_SPECIES
Sr 87.62 Sr.upf
Nd 144.24 Nd.upf
Mg 24.30 Mg.upf
CELL_PARAMETERS angstrom
3.9683 0.0000 0.0000
0.0000 3.9683 0.0000
0.0000 0.0000 12.0810
ATOMIC_POSITIONS crystal
Sr 0.5000 0.5000 0.5000
Nd 0.5000 0.5000 0.8455
Nd 0.5000 0.5000 0.1545
Mg 0.0000 0.0000 0.0000
Mg 0.0000 0.0000 0.6897
Mg 0.0000 0.0000 0.3103

---

! PBE HfAs2PSe, relaxed; values from VASP
! Formation energy from raw total energies in eV per atom: 0.411
! Energy above the lowest structure with this stoichiometry in meV/atom: 0
! Mass density in g cm⁻³: 7.01
! SG: P4/mmm
&SYSTEM
  ibrav = 0, nat = 5, ntyp = 4
/
ATOMIC_SPECIES
P 30.97 P.upf
As 74.92 As.upf
Hf 178.49 Hf.upf
Se 78.96 Se.upf
CELL_PARAMETERS angstrom
4.6301 0.0000 0.0000
0.0000 4.6301 0.0000
0.0000 0.0000 4.8408
ATOMIC_POSITIONS crystal
P 0.0000 0.0000 0.0000
As 0.0000 0.5000 0.0000
As 0.5000 0.0000 0.0000
Hf 0.5000 0.5000 0.5000
Se 0.0000 0.0000 0.5000

---

! PBE Rb2MgTl2, relaxed; values from VASP
! ΔE_f in kcal/mol of atoms: 0.96
! Energy above the lowest structure with this stoichiometry in meV/atom: 95
! Mass density in g cm⁻³: 4.89
! SG: P4/mbm
&SYSTEM
  ibrav = 0, nat = 10, ntyp = 3
/
ATOMIC_SPECIES
Tl 204.38 Tl.upf
Mg 24.30 Mg.upf
Rb 85.47 Rb.upf
CELL_PARAMETERS angstrom
-3.3134 1.5182 -7.2113
-1.2922 -7.9038 -1.0703
-5.6420 0.5556 2.7093
ATOMIC_POSITIONS crystal
Tl 0.3643 0.8643 0.0000
Tl 0.8643 0.6357 0.0000
Tl 0.6357 0.1357 0.0000
Tl 0.1357 0.3643 0.0000
Mg 0.0000 0.0000 0.0000
Mg 0.5000 0.5000 0.0000
Rb 0.1789 0.6789 0.5000
Rb 0.6789 0.8211 0.5000
Rb 0.8211 0.3211 0.5000
Rb 0.3211 0.1789 0.5000

---

! PBE MgPN3, relaxed; values from VASP
! Formation energy from raw total energies in eV per atom: 0.451
! Mass density in g cm⁻³: 3.80
! SG: Pm-3m
&SYSTEM
  ibrav = 0, nat = 5, ntyp = 3
/
ATOMIC_SPECIES
P 30.97 P.upf
Mg 24.30 Mg.upf
N 14.01 N.upf
CELL_PARAMETERS angstrom
3.4908 0.0000 0.0000
0.0000 3.4908 0.0000
0.0000 0.0000 3.4908
ATOMIC_POSITIONS crystal
P 0.0000 0.0000 0.0000
Mg 0.5000 0.5000 0.5000
N 0.0000 0.5000 0.0000
N 0.0000 0.0000 0.5000
N 0.5000 0.0000 0.0000

---

! PBE LiPt4, relaxed; values from VASP
! ΔE_f in kcal/mol of atoms: 11.86
! Energy above the lowest structure with this stoichiometry in meV/atom: 803
! Mass density in g cm⁻³: 17.40
! SG: Pm-3m
&SYSTEM
  ibrav = 0, nat = 5, ntyp = 2
/
ATOMIC_SPECIES
Pt 195.08 Pt.upf
Li 6.94 Li.upf
CELL_PARAMETERS angstrom
4.2200 0.0000 0.0000
0.0000 4.2200 0.0000
0.0000 0.0000 4.2200
ATOMIC_POSITIONS crystal
Pt 0.0000 0.0000 0.0000
Pt 0.5000 0.0000 0.5000
Pt 0.0000 0.5000 0.5000
Pt 0.5000 0.5000 0.0000
Li 0.5000 0.5000 0.5000

---

! PBE KScIn, relaxed; values from VASP
! ΔE_f in kcal/mol of atoms: 2.04
! Energy above the lowest structure with this stoichiometry in meV/atom: 7
! Mass density in g cm⁻³: 3.29
! SG: I4mm
&SYSTEM
  ibrav = 0, nat = 3, ntyp = 3
/
ATOMIC_SPECIES
In 114.82 In.upf
K 39.10 K.upf
Sc 44.96 Sc.upf
CELL_PARAMETERS angstrom
-5.3669 -3.8405 -4.3633
-5.2112 -5.8127 -1.2788
-3.1799 1.4579 1.0901
ATOMIC_POSITIONS crystal
In 0.0279 0.0279 0.9721
K 0.3461 0.3462 0.6539
Sc 0.6260 0.6260 0.3740